[1]
VASP calculation (GGA-PBE) on an optimized crystal structure of Mg2ScAs.

For the density of states at the Fermi level, the calculation gives 3.45 states/eV/cell. The total energy comes out at -0.2880 Ry per atom.

The structure belongs to space group Cm (No. 8); the cell edges are 9.8240, 3.6943 and 5.5407 Å and the angles 90.00°, 117.13° and 90.00°. The asymmetric unit holds Mg at (0.0000, 0.0000, 0.0000), Mg at (0.2115, 0.0000, 0.7596), Sc at (0.3024, 0.5000, 0.3463) and As at (0.0136, 0.5000, 0.3688).


[2]
VASP calculation (GGA-PBE) on an optimized crystal structure of NdTm8Tl6.

For the density of states at the Fermi level, the calculation gives 52.12 states/eV/cell. The total energy comes out at -0.2762 Ry per atom.

The structure belongs to space group R-3 (No. 148, hexagonal axes); the cell edges are 9.0252, 9.0252 and 19.4451 Å and the angles 90.00°, 90.00° and 120.00°. The asymmetric unit holds Nd at (0.0000, 0.0000, 0.0000), Tm at (0.0000, 0.0000, 0.3327), Tm at (0.0012, 0.6655, 0.7765) and Tl at (0.0000, 0.3404, 0.0656).


[3]
VASP calculation (GGA-PBE) on an optimized crystal structure of TbPm3Ho3S8.

The value obtained for the uncorrected formation energy is -2.0532 eV/atom. For the density of states at the Fermi level, the calculation gives 20.38 states/eV/cell.

The structure belongs to space group R-3m (No. 166, hexagonal axes); the cell edges are 7.8706, 7.8706 and 19.5035 Å and the angles 90.00°, 90.00° and 120.00°. The asymmetric unit holds Tb at (0.0000, 0.0000, 0.0000), Pm at (0.0000, 0.5000, 0.5000), Ho at (0.0000, 0.5000, 0.0000), S at (0.0000, 0.0000, 0.2544) and S at (0.0048, 0.5024, 0.2533).


[4]
VASP calculation (GGA-PBE) on an optimized crystal structure of KAgAs4.

For the density of states at the Fermi level, the calculation gives 7.85 states/eV/cell. The total energy comes out at -0.2682 Ry per atom.

The structure belongs to space group F-43m (No. 216); the cell edges are 8.1285, 8.1285 and 8.1285 Å and the angles 90.00°, 90.00° and 90.00°. The asymmetric unit holds K at (0.0000, 0.0000, 0.0000), Ag at (0.2500, 0.2500, 0.7500) and As at (0.1200, 0.1200, 0.3800).


[5]
VASP calculation (GGA-PBE) on an optimized crystal structure of Pu2Ni4AsP3.

For the density of states at the Fermi level, the calculation gives 22.42 states/eV/cell. The total energy comes out at -0.5909 Ry per atom.

The structure belongs to space group P-4m2 (No. 115); the cell edges are 4.0558, 4.0558 and 9.0874 Å and the angles 90.00°, 90.00° and 90.00°. The asymmetric unit holds Pu at (0.0000, 0.5000, 0.2499), Ni at (0.0000, 0.0000, 0.0000), Ni at (0.0000, 0.5000, 0.6224), Ni at (0.5000, 0.5000, 0.0000), As at (0.0000, 0.0000, 0.5000), P at (0.0000, 0.5000, 0.8693) and P at (0.5000, 0.5000, 0.5000).


[6]
VASP calculation (GGA-PBE) on an optimized crystal structure of V3RhS6.

The value obtained for the uncorrected formation energy is -0.6014 eV/atom. For the density of states at the Fermi level, the calculation gives 30.43 states/eV/cell.

The structure belongs to space group Cmc2_1 (No. 36); the cell edges are 9.4992, 12.1955 and 5.8085 Å and the angles 90.00°, 90.00° and 90.00°. The asymmetric unit holds V at (0.0000, 0.0886, 0.0000), V at (0.1896, 0.3716, 0.9296), Rh at (0.0000, 0.3450, 0.3328), S at (0.0000, 0.2743, 0.7298), S at (0.0000, 0.4799, 0.0178), S at (0.1630, 0.2218, 0.1738) and S at (0.1682, 0.0261, 0.7160).


[7]
VASP calculation (GGA-PBE) on an optimized crystal structure of ThCdPd4.

For the density of states at the Fermi level, the calculation gives 5.27 states/eV/cell. The total energy comes out at -0.4045 Ry per atom.

The structure belongs to space group P2_1/m (No. 11); the cell edges are 5.2438, 5.6880 and 7.6755 Å and the angles 90.00°, 93.78° and 90.00°. The asymmetric unit holds Th at (0.2345, 0.2500, 0.3774), Cd at (0.1244, 0.7500, 0.0565), Pd at (0.2411, 0.7500, 0.4098), Pd at (0.2579, 0.0043, 0.7311) and Pd at (0.3916, 0.2500, 0.0379).


[8]
VASP calculation (GGA-PBE) on an optimized crystal structure of Ca2Al2Ge.

For the density of states at the Fermi level, the calculation gives 5.50 states/eV/cell. The total energy comes out at -0.2556 Ry per atom.

The structure belongs to space group P4/mbm (No. 127); the cell edges are 7.0481, 7.0481 and 4.8672 Å and the angles 90.00°, 90.00° and 90.00°. The asymmetric unit holds Ca at (0.1727, 0.3273, 0.0000), Al at (0.1323, 0.6323, 0.5000) and Ge at (0.0000, 0.0000, 0.5000).


[9]
VASP calculation (GGA-PBE) on an optimized crystal structure of KLiSnHg3.

For the density of states at the Fermi level, the calculation gives 10.01 states/eV/cell. The total energy comes out at -0.1100 Ry per atom.

The structure belongs to space group Cmcm (No. 63); the cell edges are 7.1798, 13.5932 and 7.0259 Å and the angles 90.00°, 90.00° and 90.00°. The asymmetric unit holds K at (0.0000, 0.2082, 0.2500), Li at (0.0000, 0.4478, 0.2500), Sn at (0.0000, 0.1329, 0.7500), Hg at (0.0000, 0.3505, 0.7500) and Hg at (0.2298, 0.0000, 0.0000).


[10]
VASP calculation (GGA-PBE) on an optimized crystal structure of NdBiCl.

The value obtained for the uncorrected formation energy is -1.0752 eV/atom. For the density of states at the Fermi level, the calculation gives 3.04 states/eV/cell.

The structure belongs to space group P-6m2 (No. 187); the cell edges are 5.0595, 5.0595 and 3.8540 Å and the angles 90.00°, 90.00° and 120.00°. The asymmetric unit holds Nd at (0.0000, 0.0000, 0.0000), Bi at (0.3333, 0.6667, 0.5000) and Cl at (0.6667, 0.3333, 0.0000).


[11]
VASP calculation (GGA-PBE) on an optimized crystal structure of Zr6TlPb.

For the density of states at the Fermi level, the calculation gives 3.81 states/eV/cell. The total energy comes out at -0.5366 Ry per atom.

The structure belongs to space group P-6m2 (No. 187); the cell edges are 6.3382, 6.3382 and 5.2538 Å and the angles 90.00°, 90.00° and 120.00°. The asymmetric unit holds Zr at (0.0009, 0.5005, 0.0000), Zr at (0.1670, 0.3341, 0.5000), Tl at (0.6667, 0.3333, 0.5000) and Pb at (0.0000, 0.0000, 0.0000).


[12]
VASP calculation (GGA-PBE) on an optimized crystal structure of KCa2Ni.

For the density of states at the Fermi level, the calculation gives 9.83 states/eV/cell. The value obtained for the energy above the most stable polymorph in this dataset is 316 meV per atom.

The structure belongs to space group Fm-3m (No. 225); the cell edges are 7.8111, 7.8111 and 7.8111 Å and the angles 90.00°, 90.00° and 90.00°. The asymmetric unit holds K at (0.0000, 0.0000, 0.0000), Ca at (0.2500, 0.2500, 0.2500) and Ni at (0.0000, 0.0000, 0.5000).